An optimized crystal structure of La8Ga2Ir, computed with PBE-GGA.

a b c (Å): 5.182 6.944 9.966
angles (deg): 104.24 105.07 90.00
Fractional positions:
La1 0.212 0.293 0.424
La2 0.345 0.036 0.689
La3 0.655 0.964 0.311
La4 0.021 0.793 0.041
La5 0.979 0.207 0.959
La6 0.788 0.707 0.576
La7 0.409 0.562 0.818
La8 0.591 0.438 0.182
Ga1 0.817 0.276 0.635
Ga2 0.183 0.724 0.365
Ir1 0.500 0.000 0.000

DOS at the Fermi energy in states/eV/f.u.: 10.95
ΔH_f (0 K) in eV per atom: -0.3720
Space-group type: C2/m, No. 12